a | First-principles (PBE) data for crystalline LiBiI3 at its relaxed geometry, as listed in Alexandria via LeMat-Bulk.

Output
- Volume: 213.94 Å³/f.u.

```
data_LiBiI3
_symmetry_space_group_name_H-M 'P -1'
_symmetry_Int_Tables_number 2
_symmetry_space_group_name_Hall '-P 1'
_cell_length_a 7.435
_cell_length_b 7.556
_cell_length_c 8.556
_cell_angle_alpha 73.75
_cell_angle_beta 69.15
_cell_angle_gamma 77.82
loop_
_atom_site_label
_atom_site_fract_x
_atom_site_fract_y
_atom_site_fract_z
Li1 0.012 0.331 0.366
Bi1 0.335 0.012 0.809
I1 0.010 0.721 0.289
I2 0.322 0.248 0.079
I3 0.355 0.768 0.589
```

b | First-principles (PBE) data for crystalline LiBiI3 at its relaxed geometry, as listed in Alexandria via LeMat-Bulk.

Output
- Volume: 161.76 Å³/f.u.

```
data_LiBiI3
_symmetry_space_group_name_H-M 'P m -3 m'
_symmetry_Int_Tables_number 221
_symmetry_space_group_name_Hall '-P 4 2 3'
_cell_length_a 5.449
_cell_length_b 5.449
_cell_length_c 5.449
_cell_angle_alpha 90.00
_cell_angle_beta 90.00
_cell_angle_gamma 90.00
loop_
_atom_site_label
_atom_site_fract_x
_atom_site_fract_y
_atom_site_fract_z
Li1 0.000 0.000 0.000
Bi1 0.500 0.500 0.500
I1 0.000 0.000 0.500
```

Relative energy table, unit eV/atom: a 0.000; b 0.362

a | First-principles (PBE) data for crystalline LiBiI2N at its relaxed geometry, as listed in Alexandria via LeMat-Bulk.

Output
- Volume: 129.79 Å³/f.u.

```
data_LiBiI2N
_symmetry_space_group_name_H-M 'P 4/m m m'
_symmetry_Int_Tables_number 123
_symmetry_space_group_name_Hall '-P 4 2'
_cell_length_a 5.693
_cell_length_b 5.693
_cell_length_c 4.004
_cell_angle_alpha 90.00
_cell_angle_beta 90.00
_cell_angle_gamma 90.00
loop_
_atom_site_label
_atom_site_fract_x
_atom_site_fract_y
_atom_site_fract_z
Li1 0.000 0.000 0.000
Bi1 0.500 0.500 0.500
I1 0.000 0.500 0.000
N1 0.000 0.000 0.500
```

b | First-principles (PBE) data for crystalline LiBiI2N at its relaxed geometry, as listed in Alexandria via LeMat-Bulk.

Output
- Volume: 175.25 Å³/f.u.

```
data_LiBiI2N
_symmetry_space_group_name_H-M 'P 4/m m m'
_symmetry_Int_Tables_number 123
_symmetry_space_group_name_Hall '-P 4 2'
_cell_length_a 6.400
_cell_length_b 6.400
_cell_length_c 4.279
_cell_angle_alpha 90.00
_cell_angle_beta 90.00
_cell_angle_gamma 90.00
loop_
_atom_site_label
_atom_site_fract_x
_atom_site_fract_y
_atom_site_fract_z
Li1 0.000 0.000 0.000
Bi1 0.500 0.500 0.500
I1 0.000 0.500 0.500
N1 0.500 0.500 0.000
```

Relative energy table, unit eV/atom: a 0.249; b 0.000

a | First-principles (PBE) data for crystalline Na2LiBiI6 at its relaxed geometry, as listed in Alexandria via LeMat-Bulk.

Output
- Volume: 404.54 Å³/f.u.

```
data_Na2LiBiI6
_symmetry_space_group_name_H-M 'R 3'
_symmetry_Int_Tables_number 146
_symmetry_space_group_name_Hall 'R 3'
_cell_length_a 7.7597
_cell_length_b 7.7597
_cell_length_c 23.2709
_cell_angle_alpha 90.00
_cell_angle_beta 90.00
_cell_angle_gamma 120.00
loop_
_atom_site_label
_atom_site_fract_x
_atom_site_fract_y
_atom_site_fract_z
Na1 0.0000 0.0000 0.0000
Na2 0.0000 0.0000 0.4960
Li1 0.0000 0.0000 0.6646
Bi1 0.0000 0.0000 0.3239
I1 0.0006 0.3218 0.5860
I2 0.0030 0.6461 0.0712
```

b | First-principles (PBE) data for crystalline Na2LiBiI6 at its relaxed geometry, as listed in Alexandria via LeMat-Bulk.

Output
- Volume: 430.70 Å³/f.u.

```
data_Na2LiBiI6
_symmetry_space_group_name_H-M 'F m -3 m'
_symmetry_Int_Tables_number 225
_symmetry_space_group_name_Hall '-F 4 2 3'
_cell_length_a 11.988
_cell_length_b 11.988
_cell_length_c 11.988
_cell_angle_alpha 90.00
_cell_angle_beta 90.00
_cell_angle_gamma 90.00
loop_
_atom_site_label
_atom_site_fract_x
_atom_site_fract_y
_atom_site_fract_z
Na1 0.250 0.250 0.250
Li1 0.000 0.000 0.000
Bi1 0.000 0.000 0.500
I1 0.000 0.000 0.245
```

Relative energy table, unit eV/atom: a 0.000; b 0.179